# 1
PBE Y4Tm5Sc, optimized geometry; energy = -5.23 eV per atom; polymorph energy (0 for the lowest one) = 17.9 kJ per mole of atoms
1.0
-5.268 5.268 2.847
5.268 -5.268 2.847
5.268 5.268 -2.847
Y Tm Sc
4 5 1
Direct
0.000 0.320 0.320 Y
0.000 0.680 0.680 Y
0.320 0.000 0.320 Y
0.680 0.000 0.680 Y
0.230 0.230 0.000 Tm
0.321 0.321 0.627 Tm
0.321 0.694 0.000 Tm
0.694 0.321 0.000 Tm
0.694 0.694 0.373 Tm
0.758 0.758 0.000 Sc

# 2
PBE LuZr2Mn, optimized geometry; energy = -7.61 eV per atom
1.0
3.222 0.000 0.000
0.000 3.222 0.000
0.000 0.000 8.215
Lu Zr Mn
1 2 1
Direct
0.000 0.000 0.000 Lu
0.500 0.500 0.313 Zr
0.500 0.500 0.687 Zr
0.000 0.000 0.500 Mn

# 3
PBE InCoPb2I, optimized geometry; energy = -3.79 eV per atom
1.0
5.181 0.000 0.000
0.000 5.181 0.000
0.000 0.000 5.183
In Co Pb I
1 1 2 1
Direct
0.000 0.000 0.000 In
0.000 0.000 0.500 Co
0.000 0.500 0.500 Pb
0.500 0.000 0.500 Pb
0.500 0.500 0.000 I

# 4
PBE RbY2InCu, optimized geometry; energy = -3.37 eV per atom
1.0
5.788 0.000 0.000
0.000 5.788 0.000
0.000 0.000 6.727
Rb Y In Cu
1 2 1 1
Direct
0.000 0.000 0.000 Rb
0.000 0.500 0.500 Y
0.500 0.000 0.500 Y
0.000 0.000 0.500 In
0.500 0.500 0.000 Cu